Computed, not measured: a relaxed Pm4Sm7Sc crystal at the GGA-PBE level of DFT.

## Properties
- DOS(E_F) (states/eV per cell) = 19.4
- space group = P-1 (2)
- mass density (Mg/m³) = 6.94
- formation energy from the elements (eV/atom) = 0.10

Lattice parameters (Å, degrees): 6.8986 8.9126 9.2362 84.22 94.18 46.42
With the nearest neighbours (Å) after each atom.
Positions (direct):
Pm: 0.4756 0.3450 0.7207  1 Sc 3.30, 7 Sm 3.41-3.67, 2 Pm 3.50-3.61
Pm: 0.7754 0.8375 0.6925  7 Sm 3.41-3.80, 2 Pm 3.50-3.61
Pm: 0.5244 0.6550 0.2793  1 Sc 3.30, 7 Sm 3.41-3.67, 2 Pm 3.50-3.61
Pm: 0.2246 0.1625 0.3075  7 Sm 3.41-3.80, 2 Pm 3.50-3.61
Sm: 0.5000 0.0000 0.0000  4 Pm 3.41-3.71, 2 Sc 3.45, 4 Sm 3.62-3.80
Sm: 0.0136 0.6727 0.3673  6 Sm 3.47-3.86, 5 Pm 3.49-3.82
Sm: 0.2547 0.5015 0.0465  6 Sm 3.42-3.80, 1 Sc 3.43, 4 Pm 3.45-3.80
Sm: 0.7094 0.1857 0.3756  4 Sm 3.34-3.61, 4 Pm 3.41-3.64
Sm: 0.7453 0.4985 0.9535  6 Sm 3.42-3.80, 1 Sc 3.43, 4 Pm 3.45-3.80
Sm: 0.2906 0.8143 0.6244  4 Sm 3.34-3.61, 4 Pm 3.41-3.64
Sm: 0.9864 0.3273 0.6327  6 Sm 3.47-3.86, 5 Pm 3.49-3.82
Sc: 0.0000 0.0000 0.0000  2 Pm 3.30, 4 Sm 3.43-3.45